Entry from Alexandria: a relaxed structure of Be2SiRu (PBE).

abc: 7.675 7.675 7.675
angles: 20.15 20.15 20.15
Element x y z (fractional)
Be  0.504  0.504  0.504
Be  0.996  0.996  0.996
Ru  0.250  0.250  0.250
Si  0.750  0.750  0.750

## Properties
The space-group type is No. 166. The value obtained for the total energy is -5.36 eV per atom. The calculation puts the formation energy without anion corrections at 0.18 eV per atom. For the calculated density, the calculation gives 5.2 g/cm3.